Record 1
Entry from Alexandria: a geometry-optimized CoPd3Pt4 structure (PBE-GGA).

Output
density	15783	kg/m³
space group	Immm, No. 71
uncorrected energy	-5.84	eV per atom
ΔH_f (0 K)	18	meV/atom
relative energy among the computed polymorphs	59	meV per atom

Unit cell a=4.712 b=2.752 c=10.534 alpha=113.07 beta=102.92 gamma=90.00
Last column: magnetic moment on the atom in μB.
Fractional coordinates of all 8 atoms:
Pd: 0.000 0.500 0.000  0.22
Pd: 0.745 0.736 0.491  0.06
Pd: 0.255 0.264 0.509  0.06
Co: 0.500 0.000 0.000  2.07
Pt: 0.384 0.152 0.768  0.19
Pt: 0.873 0.619 0.746  0.06
Pt: 0.616 0.848 0.232  0.19
Pt: 0.127 0.381 0.254  0.06

Record 2
Entry from Alexandria: a geometry-optimized Pr2TmGa2Cu2 structure (PBE-GGA).

Output
density	7504	kg/m³
space group	R-3m, No. 166
uncorrected energy	-4.43	eV per atom
ΔH_f (0 K)	-391	meV/atom

Unit cell a=4.387 b=4.387 c=9.854 alpha=77.14 beta=77.14 gamma=60.00
Last column: magnetic moment on the atom in μB.
Fractional coordinates of all 7 atoms:
Tm: 0.000 0.000 0.000  0.00
Pr: 0.122 0.122 0.635  0.05
Pr: 0.878 0.878 0.365  0.05
Cu: 0.613 0.613 0.160  0.00
Cu: 0.387 0.387 0.840  0.00
Ga: 0.273 0.273 0.181  0.00
Ga: 0.727 0.727 0.819  0.00

Record 3
Entry from Alexandria: a geometry-optimized La4CuNi2 structure (PBE-GGA).

Output
density	6786	kg/m³
space group	P1, No. 1
uncorrected energy	-5.26	eV per atom
ΔH_f (0 K)	-212	meV/atom

Unit cell a=7.105 b=7.250 c=8.465 alpha=108.36 beta=107.69 gamma=105.71
Fractional coordinates of all 14 atoms:
Cu: 0.712 0.326 0.510
Cu: 0.952 0.065 0.990
La: 0.026 0.442 0.305
La: 0.655 0.905 0.179
La: 0.604 0.823 0.622
La: 0.470 0.386 0.194
La: 0.117 0.219 0.708
La: 0.731 0.451 0.878
La: 0.226 0.976 0.321
La: 0.160 0.761 0.792
Ni: 0.387 0.416 0.555
Ni: 0.906 0.775 0.433
Ni: 0.223 0.592 0.067
Ni: 0.582 0.111 0.945

Record 4
Entry from Alexandria: a geometry-optimized TbPm5In8 structure (PBE-GGA).

Output
density	7329	kg/m³
space group	I-4, No. 82
uncorrected energy	-3.97	eV per atom
ΔH_f (0 K)	-376	meV/atom

Unit cell a=8.095 b=8.095 c=8.095 alpha=109.24 beta=109.93 gamma=109.24
Fractional coordinates of all 14 atoms:
In: 0.129 0.747 0.546
In: 0.298 0.257 0.383
In: 0.618 0.417 0.871
In: 0.126 0.743 0.040
In: 0.617 0.915 0.874
In: 0.799 0.253 0.382
In: 0.454 0.583 0.201
In: 0.960 0.085 0.702
Pm: 0.374 0.126 0.005
Pm: 0.752 0.630 0.626
Pm: 0.995 0.370 0.121
Pm: 0.879 0.874 0.248
Pm: 0.500 0.000 0.500
Tb: 0.250 0.500 0.750